# GGA-PBEsol RbNaO2F, relaxed
# energy: -3.196 eV per atom
data_RbNaO2F
_chemical_formula_sum 'Rb1 Na1 O2 F1'
_space_group_name_H-M_alt 'P 4/m m m'
_space_group_IT_number 123
_space_group_name_Hall '-P 4 2'
_cell_length_a 4.4249
_cell_length_b 4.4249
_cell_length_c 5.0381
_cell_angle_alpha 90.00
_cell_angle_beta 90.00
_cell_angle_gamma 90.00
loop_
_atom_site_label
_atom_site_fract_x
_atom_site_fract_y
_atom_site_fract_z
Rb1 0.0000 0.0000 0.0000
Na1 0.5000 0.5000 0.5000
O1 0.0000 0.5000 0.0000
F1 0.0000 0.0000 0.5000


# GGA-PBEsol SrSiSe2N, relaxed
# energy: -5.411 eV per atom
data_SrSiSe2N
_chemical_formula_sum 'Sr1 Si1 Se2 N1'
_space_group_name_H-M_alt 'P 4/m m m'
_space_group_IT_number 123
_space_group_name_Hall '-P 4 2'
_cell_length_a 5.2776
_cell_length_b 5.2776
_cell_length_c 3.3847
_cell_angle_alpha 90.00
_cell_angle_beta 90.00
_cell_angle_gamma 90.00
loop_
_atom_site_label
_atom_site_fract_x
_atom_site_fract_y
_atom_site_fract_z
Sr1 0.0000 0.0000 0.0000
Si1 0.5000 0.5000 0.5000
Se1 0.0000 0.5000 0.5000
N1 0.5000 0.5000 0.0000


# GGA-PBEsol CdAgAu2, relaxed
# energy of formation from the pure elements: -1.69 kcal/mol of atoms
data_CdAgAu2
_chemical_formula_sum 'Cd1 Ag1 Au2'
_space_group_name_H-M_alt 'P 4 m m'
_space_group_IT_number 99
_cell_length_a 2.9857
_cell_length_b 2.9857
_cell_length_c 7.8143
_cell_angle_alpha 90.00
_cell_angle_beta 90.00
_cell_angle_gamma 90.00
loop_
_space_group_symop_operation_xyz
'x,y,z'
'-y,x,z'
'-x,-y,z'
'y,-x,z'
'-x,y,z'
'y,x,z'
'x,-y,z'
'-y,-x,z'
loop_
_atom_site_label
_atom_site_fract_x
_atom_site_fract_y
_atom_site_fract_z
Cd1 0.0000 0.0000 0.0000
Ag1 0.5000 0.5000 0.7444
Au1 0.0000 0.0000 0.5009
Au2 0.5000 0.5000 0.2528


# GGA-PBEsol BaNiP2, relaxed
# energy of formation from the pure elements: -3.72 kcal/mol of atoms
data_BaNiP2
_chemical_formula_sum 'Ba2 Ni2 P4'
_space_group_name_H-M_alt 'I m m 2'
_space_group_IT_number 44
_cell_length_a 4.0634
_cell_length_b 6.1035
_cell_length_c 7.0984
_cell_angle_alpha 90.00
_cell_angle_beta 90.00
_cell_angle_gamma 90.00
loop_
_space_group_symop_operation_xyz
'x,y,z'
'-x,-y,z'
'-x,y,z'
'x,-y,z'
'x+1/2,y+1/2,z+1/2'
'-x+1/2,-y+1/2,z+1/2'
'-x+1/2,y+1/2,z+1/2'
'x+1/2,-y+1/2,z+1/2'
loop_
_atom_site_label
_atom_site_fract_x
_atom_site_fract_y
_atom_site_fract_z
Ba1 0.0000 0.0000 0.0000
Ni1 0.0000 0.5000 0.1350
P1 0.0000 0.0000 0.5085
P2 0.0000 0.5000 0.8343


# GGA-PBEsol Si2RuBr, relaxed
# energy: -5.258 eV per atom
data_Si2RuBr
_chemical_formula_sum 'Si2 Ru1 Br1'
_space_group_name_H-M_alt 'P m m m'
_space_group_IT_number 47
_cell_length_a 2.9335
_cell_length_b 4.4349
_cell_length_c 4.6948
_cell_angle_alpha 90.00
_cell_angle_beta 90.00
_cell_angle_gamma 90.00
loop_
_space_group_symop_operation_xyz
'x,y,z'
'-x,-y,-z'
'-x,-y,z'
'x,y,-z'
'x,-y,-z'
'-x,y,z'
'-x,y,-z'
'x,-y,z'
loop_
_atom_site_label
_atom_site_fract_x
_atom_site_fract_y
_atom_site_fract_z
Si1 0.0000 0.0000 0.0000
Si2 0.5000 0.5000 0.0000
Ru1 0.0000 0.5000 0.5000
Br1 0.5000 0.0000 0.5000


# GGA-PBEsol YGa2Ru2, relaxed
# energy of formation from the pure elements: -9.65 kcal/mol of atoms
data_YGa2Ru2
_chemical_formula_sum 'Y2 Ga4 Ru4'
_space_group_name_H-M_alt 'P 4/m b m'
_space_group_IT_number 127
_space_group_name_Hall '-P 4 2ab'
_cell_length_a 7.2283
_cell_length_b 7.2283
_cell_length_c 3.0258
_cell_angle_alpha 90.00
_cell_angle_beta 90.00
_cell_angle_gamma 90.00
loop_
_atom_site_label
_atom_site_fract_x
_atom_site_fract_y
_atom_site_fract_z
Y1 0.0000 0.0000 0.0000
Ga1 0.1269 0.3731 0.0000
Ru1 0.1669 0.6669 0.5000


# GGA-PBEsol SiTc2Te, relaxed
# ΔE to the lowest computed polymorph: 32 meV/atom
data_SiTc2Te
_chemical_formula_sum 'Si1 Tc2 Te1'
_space_group_name_H-M_alt 'P m m 2'
_space_group_IT_number 25
_cell_length_a 3.0536
_cell_length_b 4.5803
_cell_length_c 4.4368
_cell_angle_alpha 90.00
_cell_angle_beta 90.00
_cell_angle_gamma 90.00
loop_
_space_group_symop_operation_xyz
'x,y,z'
'-x,-y,z'
'-x,y,z'
'x,-y,z'
loop_
_atom_site_label
_atom_site_fract_x
_atom_site_fract_y
_atom_site_fract_z
Si1 0.0000 0.0000 0.0000
Tc1 0.0000 0.5000 0.7535
Tc2 0.5000 0.0000 0.5401
Te1 0.5000 0.5000 0.2458


# GGA-PBEsol Na5Li4Ti5O14, relaxed
# energy: -7.172 eV per atom
data_Na5Li4Ti5O14
_chemical_formula_sum 'Na5 Li4 Ti5 O14'
_space_group_name_H-M_alt 'P 1'
_space_group_IT_number 1
_cell_length_a 5.1512
_cell_length_b 6.9356
_cell_length_c 8.0768
_cell_angle_alpha 88.88
_cell_angle_beta 78.07
_cell_angle_gamma 82.15
loop_
_space_group_symop_operation_xyz
'x,y,z'
loop_
_atom_site_label
_atom_site_fract_x
_atom_site_fract_y
_atom_site_fract_z
Na1 0.0000 0.0000 0.0000
Na2 0.1347 0.7087 0.7039
Na3 0.4068 0.1431 0.1379
Na4 0.5605 0.8664 0.8550
Na5 0.8469 0.2746 0.2801
Li1 0.0566 0.8481 0.3604
Li2 0.2627 0.4183 0.4411
Li3 0.3501 0.2943 0.7812
Li4 0.7076 0.5582 0.5543
Ti1 0.2001 0.5702 0.0761
Ti2 0.4906 0.0069 0.5006
Ti3 0.6257 0.7143 0.2273
Ti4 0.7746 0.4294 0.9144
Ti5 0.9185 0.1514 0.6377
O1 0.0855 0.3244 0.0160
O2 0.1771 0.1386 0.4187
O3 0.2325 0.0224 0.7174
O4 0.3194 0.8188 0.1240
O5 0.4206 0.7268 0.4524
O6 0.4549 0.5579 0.8496
O7 0.5215 0.4528 0.1605
O8 0.5990 0.2606 0.5411
O9 0.6942 0.1724 0.8706
O10 0.7118 0.9694 0.2667
O11 0.7994 0.9017 0.5919
O12 0.8825 0.6889 0.9860
O13 0.9528 0.5805 0.3002
O14 0.9855 0.4201 0.6797


# GGA-PBEsol LiCrTc2, relaxed
# energy of formation from the pure elements: 9.26 kcal/mol of atoms
# ΔE to the lowest computed polymorph: 124 meV/atom
data_LiCrTc2
_chemical_formula_sum 'Li1 Cr1 Tc2'
_space_group_name_H-M_alt 'P m m m'
_space_group_IT_number 47
_cell_length_a 3.0179
_cell_length_b 4.1378
_cell_length_c 4.1564
_cell_angle_alpha 90.00
_cell_angle_beta 90.00
_cell_angle_gamma 90.00
loop_
_space_group_symop_operation_xyz
'x,y,z'
'-x,-y,-z'
'-x,-y,z'
'x,y,-z'
'x,-y,-z'
'-x,y,z'
'-x,y,-z'
'x,-y,z'
loop_
_atom_site_label
_atom_site_fract_x
_atom_site_fract_y
_atom_site_fract_z
Li1 0.0000 0.0000 0.0000
Cr1 0.5000 0.0000 0.5000
Tc1 0.0000 0.5000 0.5000
Tc2 0.5000 0.5000 0.0000


# GGA-PBEsol Zr2ScCd, relaxed
# energy of formation from the pure elements: -1.97 kcal/mol of atoms
# ΔE to the lowest computed polymorph: 49 meV/atom
data_Zr2ScCd
_chemical_formula_sum 'Zr4 Sc2 Cd2'
_space_group_name_H-M_alt 'C 1 m 1'
_space_group_IT_number 8
_cell_length_a 11.0404
_cell_length_b 3.1782
_cell_length_c 5.4511
_cell_angle_alpha 90.00
_cell_angle_beta 115.76
_cell_angle_gamma 90.00
loop_
_space_group_symop_operation_xyz
'x,y,z'
'x,-y,z'
'x+1/2,y+1/2,z'
'x+1/2,-y+1/2,z'
loop_
_atom_site_label
_atom_site_fract_x
_atom_site_fract_y
_atom_site_fract_z
Zr1 0.0000 0.0000 0.0000
Zr2 0.2441 0.0000 0.8814
Sc1 0.2641 0.5000 0.3967
Cd1 0.0060 0.5000 0.4817


# GGA-PBEsol K2CrSe, relaxed
# energy: -3.813 eV per atom
data_K2CrSe
_chemical_formula_sum 'K2 Cr1 Se1'
_space_group_name_H-M_alt 'P 4/m m m'
_space_group_IT_number 123
_space_group_name_Hall '-P 4 2'
_cell_length_a 3.7822
_cell_length_b 3.7822
_cell_length_c 9.0464
_cell_angle_alpha 90.00
_cell_angle_beta 90.00
_cell_angle_gamma 90.00
loop_
_atom_site_label
_atom_site_fract_x
_atom_site_fract_y
_atom_site_fract_z
K1 0.0000 0.0000 0.1966
Cr1 0.5000 0.5000 0.5000
Se1 0.5000 0.5000 0.0000


# GGA-PBEsol Ni2PCl, relaxed
# ΔE to the lowest computed polymorph: 0 meV/atom
data_Ni2PCl
_chemical_formula_sum 'Ni2 P1 Cl1'
_space_group_name_H-M_alt 'P 4/m m m'
_space_group_IT_number 123
_space_group_name_Hall '-P 4 2'
_cell_length_a 2.8972
_cell_length_b 2.8972
_cell_length_c 6.1243
_cell_angle_alpha 90.00
_cell_angle_beta 90.00
_cell_angle_gamma 90.00
loop_
_atom_site_label
_atom_site_fract_x
_atom_site_fract_y
_atom_site_fract_z
Ni1 0.0000 0.0000 0.1991
P1 0.5000 0.5000 0.0000
Cl1 0.5000 0.5000 0.5000